Cu3BiIr after structural relaxation, computed with GGA-PBEsol.

CIF file:
```
data_Cu3BiIr
_symmetry_space_group_name_H-M 'P m -3 m'
_symmetry_Int_Tables_number 221
_symmetry_space_group_name_Hall '-P 4 2 3'
_cell_length_a 4.7012
_cell_length_b 4.7012
_cell_length_c 4.7012
_cell_angle_alpha 90.00
_cell_angle_beta 90.00
_cell_angle_gamma 90.00
loop_
_atom_site_label
_atom_site_type_symbol
_atom_site_fract_x
_atom_site_fract_y
_atom_site_fract_z
Cu1 Cu 0.0000 0.0000 0.5000
Bi1 Bi 0.0000 0.0000 0.0000
Ir1 Ir 0.5000 0.5000 0.5000
```

Values from the calculation:
**ΔE_f**: 1.802 eV/atom



Y2CuBiIr after structural relaxation, computed with GGA-PBEsol.

CIF file:
```
data_Y2CuBiIr
_symmetry_space_group_name_H-M 'P 4/m m m'
_symmetry_Int_Tables_number 123
_symmetry_space_group_name_Hall '-P 4 2'
_cell_length_a 5.0958
_cell_length_b 5.0958
_cell_length_c 4.6924
_cell_angle_alpha 90.00
_cell_angle_beta 90.00
_cell_angle_gamma 90.00
loop_
_atom_site_label
_atom_site_type_symbol
_atom_site_fract_x
_atom_site_fract_y
_atom_site_fract_z
Y1 Y 0.0000 0.5000 0.0000
Cu1 Cu 0.0000 0.0000 0.0000
Bi1 Bi 0.0000 0.0000 0.5000
Ir1 Ir 0.5000 0.5000 0.5000
```

Values from the calculation:
**ΔE_f**: 0.420 eV/atom



KCu3Bi after structural relaxation, computed with GGA-PBEsol.

CIF file:
```
data_KCu3Bi
_symmetry_space_group_name_H-M 'P m -3 m'
_symmetry_Int_Tables_number 221
_symmetry_space_group_name_Hall '-P 4 2 3'
_cell_length_a 4.8517
_cell_length_b 4.8517
_cell_length_c 4.8517
_cell_angle_alpha 90.00
_cell_angle_beta 90.00
_cell_angle_gamma 90.00
loop_
_atom_site_label
_atom_site_type_symbol
_atom_site_fract_x
_atom_site_fract_y
_atom_site_fract_z
K1 K 0.0000 0.0000 0.0000
Cu1 Cu 0.0000 0.0000 0.5000
Bi1 Bi 0.5000 0.5000 0.5000
```

Values from the calculation:
**ΔE_f**: 1.530 eV/atom



KCuBi2S4 after structural relaxation, computed with GGA-PBEsol.

CIF file:
```
data_KCuBi2S4
_symmetry_space_group_name_H-M 'C m c 21'
_symmetry_Int_Tables_number 36
_symmetry_space_group_name_Hall 'C 2c -2'
_cell_length_a 3.9768
_cell_length_b 13.6712
_cell_length_c 14.0212
_cell_angle_alpha 90.00
_cell_angle_beta 90.00
_cell_angle_gamma 90.00
loop_
_atom_site_label
_atom_site_type_symbol
_atom_site_fract_x
_atom_site_fract_y
_atom_site_fract_z
K1 K 0.0000 0.1079 0.0000
Cu1 Cu 0.0000 0.1540 0.5168
Bi1 Bi 0.0000 0.3564 0.2015
Bi2 Bi 0.0000 0.3742 0.8207
S1 S 0.0000 0.0129 0.7722
S2 S 0.0000 0.2565 0.3740
S3 S 0.0000 0.2705 0.6420
S4 S 0.0000 0.4285 0.0096
```

Values from the calculation:
**Formation energy without anion corrections**: -0.572 eV per atom



La3Cu3Bi4 after structural relaxation, computed with GGA-PBEsol.

CIF file:
```
data_La3Cu3Bi4
_symmetry_space_group_name_H-M 'I -4 3 d'
_symmetry_Int_Tables_number 220
_symmetry_space_group_name_Hall 'I -4bd 2c 3'
_cell_length_a 9.9425
_cell_length_b 9.9425
_cell_length_c 9.9425
_cell_angle_alpha 90.00
_cell_angle_beta 90.00
_cell_angle_gamma 90.00
loop_
_atom_site_label
_atom_site_type_symbol
_atom_site_fract_x
_atom_site_fract_y
_atom_site_fract_z
La1 La 0.0000 0.2500 0.8750
Cu1 Cu 0.0000 0.2500 0.3750
Bi1 Bi 0.0823 0.4177 0.5823
```

Values from the calculation:
**ΔE_f**: -0.686 eV/atom



Sr2LaCu2Bi2O8 after structural relaxation, computed with GGA-PBEsol.

CIF file:
```
data_Sr2LaCu2Bi2O8
_symmetry_space_group_name_H-M 'C c c m'
_symmetry_Int_Tables_number 66
_symmetry_space_group_name_Hall '-C 2 2c'
_cell_length_a 5.4976
_cell_length_b 30.2844
_cell_length_c 5.3192
_cell_angle_alpha 90.00
_cell_angle_beta 90.00
_cell_angle_gamma 90.00
loop_
_atom_site_label
_atom_site_type_symbol
_atom_site_fract_x
_atom_site_fract_y
_atom_site_fract_z
Sr1 Sr 0.2474 0.1353 0.0000
La1 La 0.2500 0.2500 0.0000
Cu1 Cu 0.2500 0.1939 0.5000
Bi1 Bi 0.2331 0.4543 0.5000
O1 O 0.0000 0.1972 0.2500
O2 O 0.0000 0.3039 0.2500
O3 O 0.1600 0.4515 0.0000
O4 O 0.2303 0.1149 0.5000
```

Values from the calculation:
**Formation energy without anion corrections**: -1.834 eV per atom



LiCu2Bi2 after structural relaxation, computed with GGA-PBEsol.

CIF file:
```
data_LiCu2Bi2
_symmetry_space_group_name_H-M 'I 4/m m m'
_symmetry_Int_Tables_number 139
_symmetry_space_group_name_Hall '-I 4 2'
_cell_length_a 4.9017
_cell_length_b 4.9017
_cell_length_c 9.3822
_cell_angle_alpha 90.00
_cell_angle_beta 90.00
_cell_angle_gamma 90.00
loop_
_atom_site_label
_atom_site_type_symbol
_atom_site_fract_x
_atom_site_fract_y
_atom_site_fract_z
Li1 Li 0.0000 0.0000 0.0000
Cu1 Cu 0.0000 0.0000 0.3746
Bi1 Bi 0.0000 0.5000 0.2500
```

Values from the calculation:
**ΔE_f**: 0.170 eV/atom



LiCuBi2Pd after structural relaxation, computed with GGA-PBEsol.

CIF file:
```
data_LiCuBi2Pd
_symmetry_space_group_name_H-M 'P 4/m m m'
_symmetry_Int_Tables_number 123
_symmetry_space_group_name_Hall '-P 4 2'
_cell_length_a 4.9110
_cell_length_b 4.9110
_cell_length_c 4.2768
_cell_angle_alpha 90.00
_cell_angle_beta 90.00
_cell_angle_gamma 90.00
loop_
_atom_site_label
_atom_site_type_symbol
_atom_site_fract_x
_atom_site_fract_y
_atom_site_fract_z
Li1 Li 0.0000 0.0000 0.0000
Cu1 Cu 0.5000 0.5000 0.5000
Bi1 Bi 0.0000 0.5000 0.0000
Pd1 Pd 0.0000 0.0000 0.5000
```

Values from the calculation:
**ΔE_f**: 0.444 eV/atom



MnCu3Bi after structural relaxation, computed with GGA-PBEsol.

CIF file:
```
data_MnCu3Bi
_symmetry_space_group_name_H-M 'P m -3 m'
_symmetry_Int_Tables_number 221
_symmetry_space_group_name_Hall '-P 4 2 3'
_cell_length_a 4.8565
_cell_length_b 4.8565
_cell_length_c 4.8565
_cell_angle_alpha 90.00
_cell_angle_beta 90.00
_cell_angle_gamma 90.00
loop_
_atom_site_label
_atom_site_type_symbol
_atom_site_fract_x
_atom_site_fract_y
_atom_site_fract_z
Mn1 Mn 0.0000 0.0000 0.0000
Cu1 Cu 0.0000 0.5000 0.5000
Bi1 Bi 0.5000 0.5000 0.5000
```

Values from the calculation:
**ΔE_f**: 1.318 eV/atom



Mn4Cu3BiO12 after structural relaxation, computed with GGA-PBEsol.

CIF file:
```
data_Mn4Cu3BiO12
_symmetry_space_group_name_H-M 'I m -3'
_symmetry_Int_Tables_number 204
_symmetry_space_group_name_Hall '-I 2 2 3'
_cell_length_a 7.2230
_cell_length_b 7.2230
_cell_length_c 7.2230
_cell_angle_alpha 90.00
_cell_angle_beta 90.00
_cell_angle_gamma 90.00
loop_
_atom_site_label
_atom_site_type_symbol
_atom_site_fract_x
_atom_site_fract_y
_atom_site_fract_z
Mn1 Mn 0.2500 0.2500 0.2500
Cu1 Cu 0.0000 0.0000 0.5000
Bi1 Bi 0.0000 0.0000 0.0000
O1 O 0.0000 0.1800 0.3026
```

Values from the calculation:
**Formation energy without anion corrections**: -1.307 eV per atom



NaCuBi2Mo after structural relaxation, computed with GGA-PBEsol.

CIF file:
```
data_NaCuBi2Mo
_symmetry_space_group_name_H-M 'P 4/m m m'
_symmetry_Int_Tables_number 123
_symmetry_space_group_name_Hall '-P 4 2'
_cell_length_a 5.1838
_cell_length_b 5.1838
_cell_length_c 4.9158
_cell_angle_alpha 90.00
_cell_angle_beta 90.00
_cell_angle_gamma 90.00
loop_
_atom_site_label
_atom_site_type_symbol
_atom_site_fract_x
_atom_site_fract_y
_atom_site_fract_z
Na1 Na 0.0000 0.0000 0.0000
Cu1 Cu 0.5000 0.5000 0.5000
Bi1 Bi 0.0000 0.5000 0.5000
Mo1 Mo 0.5000 0.5000 0.0000
```

Values from the calculation:
**ΔE_f**: 0.851 eV/atom



CuBiMoO2 after structural relaxation, computed with GGA-PBEsol.

CIF file:
```
data_CuBiMoO2
_symmetry_space_group_name_H-M 'P 4/m m m'
_symmetry_Int_Tables_number 123
_symmetry_space_group_name_Hall '-P 4 2'
_cell_length_a 4.1072
_cell_length_b 4.1072
_cell_length_c 5.7469
_cell_angle_alpha 90.00
_cell_angle_beta 90.00
_cell_angle_gamma 90.00
loop_
_atom_site_label
_atom_site_type_symbol
_atom_site_fract_x
_atom_site_fract_y
_atom_site_fract_z
Cu1 Cu 0.0000 0.0000 0.0000
Bi1 Bi 0.5000 0.5000 0.5000
Mo1 Mo 0.5000 0.5000 0.0000
O1 O 0.0000 0.5000 0.5000
```

Values from the calculation:
**Formation energy without anion corrections**: 1.004 eV per atom



CuBiN2 after structural relaxation, computed with GGA-PBEsol.

CIF file:
```
data_CuBiN2
_symmetry_space_group_name_H-M 'R -3 m'
_symmetry_Int_Tables_number 166
_symmetry_space_group_name_Hall '-R 3 2"'
_cell_length_a 3.1541
_cell_length_b 3.1541
_cell_length_c 19.0378
_cell_angle_alpha 90.00
_cell_angle_beta 90.00
_cell_angle_gamma 120.00
loop_
_atom_site_label
_atom_site_type_symbol
_atom_site_fract_x
_atom_site_fract_y
_atom_site_fract_z
Cu1 Cu 0.0000 0.0000 0.0000
Bi1 Bi 0.0000 0.0000 0.5000
N1 N 0.0000 0.0000 0.3780
```

Values from the calculation:
**Formation energy without anion corrections**: 1.021 eV per atom



CuBiN3 after structural relaxation, computed with GGA-PBEsol.

CIF file:
```
data_CuBiN3
_symmetry_space_group_name_H-M 'P m -3 m'
_symmetry_Int_Tables_number 221
_symmetry_space_group_name_Hall '-P 4 2 3'
_cell_length_a 3.8617
_cell_length_b 3.8617
_cell_length_c 3.8617
_cell_angle_alpha 90.00
_cell_angle_beta 90.00
_cell_angle_gamma 90.00
loop_
_atom_site_label
_atom_site_type_symbol
_atom_site_fract_x
_atom_site_fract_y
_atom_site_fract_z
Cu1 Cu 0.0000 0.0000 0.0000
Bi1 Bi 0.5000 0.5000 0.5000
N1 N 0.0000 0.0000 0.5000
```

Values from the calculation:
**Formation energy without anion corrections**: 1.461 eV per atom



CuBiSN2 after structural relaxation, computed with GGA-PBEsol.

CIF file:
```
data_CuBiSN2
_symmetry_space_group_name_H-M 'P 4/m m m'
_symmetry_Int_Tables_number 123
_symmetry_space_group_name_Hall '-P 4 2'
_cell_length_a 3.9349
_cell_length_b 3.9349
_cell_length_c 4.5429
_cell_angle_alpha 90.00
_cell_angle_beta 90.00
_cell_angle_gamma 90.00
loop_
_atom_site_label
_atom_site_type_symbol
_atom_site_fract_x
_atom_site_fract_y
_atom_site_fract_z
Cu1 Cu 0.0000 0.0000 0.0000
Bi1 Bi 0.5000 0.5000 0.5000
S1 S 0.0000 0.0000 0.5000
N1 N 0.0000 0.5000 0.0000
```

Values from the calculation:
**Formation energy without anion corrections**: 1.140 eV per atom



Na2CuBiOs after structural relaxation, computed with GGA-PBEsol.

CIF file:
```
data_Na2CuBiOs
_symmetry_space_group_name_H-M 'P 4/m m m'
_symmetry_Int_Tables_number 123
_symmetry_space_group_name_Hall '-P 4 2'
_cell_length_a 5.7975
_cell_length_b 5.7975
_cell_length_c 4.7817
_cell_angle_alpha 90.00
_cell_angle_beta 90.00
_cell_angle_gamma 90.00
loop_
_atom_site_label
_atom_site_type_symbol
_atom_site_fract_x
_atom_site_fract_y
_atom_site_fract_z
Na1 Na 0.0000 0.5000 0.0000
Cu1 Cu 0.0000 0.0000 0.5000
Bi1 Bi 0.0000 0.0000 0.0000
Os1 Os 0.5000 0.5000 0.5000
```

Values from the calculation:
**ΔE_f**: 1.684 eV/atom



Nd5CuBi3 after structural relaxation, computed with GGA-PBEsol.

CIF file:
```
data_Nd5CuBi3
_symmetry_space_group_name_H-M 'P 63/m c m'
_symmetry_Int_Tables_number 193
_symmetry_space_group_name_Hall '-P 6c 2'
_cell_length_a 9.5038
_cell_length_b 9.5038
_cell_length_c 6.4766
_cell_angle_alpha 90.00
_cell_angle_beta 90.00
_cell_angle_gamma 120.00
loop_
_atom_site_label
_atom_site_type_symbol
_atom_site_fract_x
_atom_site_fract_y
_atom_site_fract_z
Nd1 Nd 0.0000 0.2574 0.2500
Nd2 Nd 0.3333 0.6667 0.0000
Cu1 Cu 0.0000 0.0000 0.0000
Bi1 Bi 0.0000 0.3840 0.7500
```

Values from the calculation:
**ΔE_f**: -0.745 eV/atom



Nd3Cu3Bi4 after structural relaxation, computed with GGA-PBEsol.

CIF file:
```
data_Nd3Cu3Bi4
_symmetry_space_group_name_H-M 'I -4 3 d'
_symmetry_Int_Tables_number 220
_symmetry_space_group_name_Hall 'I -4bd 2c 3'
_cell_length_a 9.8297
_cell_length_b 9.8297
_cell_length_c 9.8297
_cell_angle_alpha 90.00
_cell_angle_beta 90.00
_cell_angle_gamma 90.00
loop_
_atom_site_label
_atom_site_type_symbol
_atom_site_fract_x
_atom_site_fract_y
_atom_site_fract_z
Nd1 Nd 0.0000 0.2500 0.3750
Cu1 Cu 0.0000 0.2500 0.8750
Bi1 Bi 0.0828 0.0828 0.0828
```

Values from the calculation:
**ΔE_f**: -0.619 eV/atom



YCu2NiBi after structural relaxation, computed with GGA-PBEsol.

CIF file:
```
data_YCu2NiBi
_symmetry_space_group_name_H-M 'P 4/m m m'
_symmetry_Int_Tables_number 123
_symmetry_space_group_name_Hall '-P 4 2'
_cell_length_a 4.9089
_cell_length_b 4.9089
_cell_length_c 4.6272
_cell_angle_alpha 90.00
_cell_angle_beta 90.00
_cell_angle_gamma 90.00
loop_
_atom_site_label
_atom_site_type_symbol
_atom_site_fract_x
_atom_site_fract_y
_atom_site_fract_z
Y1 Y 0.0000 0.0000 0.0000
Cu1 Cu 0.0000 0.5000 0.0000
Ni1 Ni 0.0000 0.0000 0.5000
Bi1 Bi 0.5000 0.5000 0.5000
```

Values from the calculation:
**ΔE_f**: 1.081 eV/atom



CuBiO2 after structural relaxation, computed with GGA-PBEsol.

CIF file:
```
data_CuBiO2
_symmetry_space_group_name_H-M 'I m m m'
_symmetry_Int_Tables_number 71
_symmetry_space_group_name_Hall '-I 2 2'
_cell_length_a 3.9164
_cell_length_b 5.9081
_cell_length_c 11.1782
_cell_angle_alpha 90.00
_cell_angle_beta 90.00
_cell_angle_gamma 90.00
loop_
_atom_site_label
_atom_site_type_symbol
_atom_site_fract_x
_atom_site_fract_y
_atom_site_fract_z
Cu1 Cu 0.0000 0.2213 0.0000
Bi1 Bi 0.0000 0.0000 0.3081
O1 O 0.0000 0.2528 0.1609
```

Values from the calculation:
**Formation energy without anion corrections**: -0.864 eV per atom



no.,E_tot (eV per atom),spin magnetization (μB per formula unit)
1,-3.62,1.3
2,-6.00,0.0
3,-2.15,0.0
4,-4.52,0.0
5,-5.30,0.0
6,-6.39,0.0
7,-3.67,0.0
8,-3.72,0.0
9,-4.09,4.9
10,-7.27,9.8
11,-4.36,3.6
12,-5.17,3.8
13,-5.40,0.0
14,-5.38,2.5
15,-4.87,2.0
16,-3.04,3.9
17,-5.53,0.0
18,-5.18,0.0
19,-4.11,0.0
20,-5.64,0.0